A relaxed structure of CuPtRhAu, computed with PBE.

Lattice parameters (Å, degrees): 4.4241 4.4241 4.4241 60.00 60.00 60.00
Closest atoms and distances in Å follow each position.
Fractional positions:
Cu  0.0000  0.0000  0.0000  4 Pt 2.71, 4 Au 2.71
Pt  0.2500  0.2500  0.2500  4 Rh 2.71, 4 Cu 2.71
Rh  0.5000  0.5000  0.5000  4 Pt 2.71, 4 Au 2.71
Au  0.7500  0.7500  0.7500  4 Cu 2.71, 4 Rh 2.71

ΔH_f (0 K) ... 135 meV per atom
Total magnetic moment ... 0.003 μB per cell
Space-group type ... F-43m (216)

=====

A relaxed structure of Mg3PbW, computed with PBE.

Lattice parameters (Å, degrees): 5.3187 5.3187 5.3187 90.00 90.00 90.00
Closest atoms and distances in Å follow each position.
Fractional positions:
Mg  0.0000  0.0000  0.5000  2 Pb 2.66
Mg  0.0000  0.5000  0.0000  2 Pb 2.66
Mg  0.5000  0.0000  0.0000  2 Pb 2.66
Pb  0.0000  0.0000  0.0000  6 Mg 2.66
W  0.5000  0.5000  0.5000  12 Mg 3.76

ΔH_f (0 K) ... 1467 meV per atom
Total magnetic moment ... 4.065 μB per cell
Space-group type ... Pm-3m (221)

=====

A relaxed structure of Pm4ErIr3, computed with PBE.

Lattice parameters (Å, degrees): 8.5307 8.5307 8.5307 97.49 97.49 137.66
Closest atoms and distances in Å follow each position.
Fractional positions:
Pm  0.0829  0.7885  0.8715  4 Ir 2.98-3.07, 1 Pm 3.27
Pm  0.2115  0.0829  0.2944  4 Ir 2.98-3.07, 1 Pm 3.27
Pm  0.2885  0.5829  0.8715  4 Ir 2.98-3.07, 1 Pm 3.27
Pm  0.4171  0.2885  0.7056  4 Ir 2.98-3.07, 1 Pm 3.27
Pm  0.5829  0.7115  0.2944  4 Ir 2.98-3.07, 1 Pm 3.27
Pm  0.7115  0.4171  0.1285  4 Ir 2.98-3.07, 1 Pm 3.27
Pm  0.7885  0.9171  0.7056  4 Ir 2.98-3.07, 1 Pm 3.27
Pm  0.9171  0.2115  0.1285  4 Ir 2.98-3.07, 1 Pm 3.27
Er  0.2500  0.7500  0.5000  4 Ir 2.85, 2 Er 3.08
Er  0.7500  0.2500  0.5000  4 Ir 2.85, 2 Er 3.08
Ir  0.1507  0.3493  0.5000  2 Er 2.85, 4 Pm 3.05-3.07
Ir  0.2500  0.2500  0.0000  8 Pm 2.98, 2 Ir 3.08
Ir  0.3493  0.8493  0.1986  2 Er 2.85, 4 Pm 3.05-3.07
Ir  0.6507  0.1507  0.8014  2 Er 2.85, 4 Pm 3.05-3.07
Ir  0.7500  0.7500  0.0000  8 Pm 2.98, 2 Ir 3.08
Ir  0.8493  0.6507  0.5000  2 Er 2.85, 4 Pm 3.05-3.07

ΔH_f (0 K) ... -634 meV per atom
Total magnetic moment ... 0.000 μB per cell
Space-group type ... I4/mcm (140)

=====

A relaxed structure of NbPdAu2Br, computed with PBE.

Lattice parameters (Å, degrees): 5.1831 5.1831 4.9209 90.00 90.00 90.00
Closest atoms and distances in Å follow each position.
Fractional positions:
Nb  0.0000  0.0000  0.0000  2 Br 2.46, 4 Au 2.59
Pd  0.5000  0.5000  0.5000  8 Au 3.57, 4 Br 3.67
Au  0.0000  0.5000  0.0000  2 Nb 2.59
Au  0.5000  0.0000  0.0000  2 Nb 2.59
Br  0.0000  0.0000  0.5000  2 Nb 2.46

Formation energy without anion corrections ... 0.809 eV/atom
Total magnetic moment ... 0.000 μB per cell
Space-group type ... P4/mmm (123)

=====

A relaxed structure of Ac2Mg2Zn, computed with PBE.

Lattice parameters (Å, degrees): 6.9011 6.9011 6.9011 147.42 117.74 72.06
Closest atoms and distances in Å follow each position.
Fractional positions:
Ac  0.2363  0.2363  0.0000  2 Zn 3.52, 6 Mg 3.57-3.62, 2 Ac 3.87
Ac  0.7637  0.7637  0.0000  2 Zn 3.52, 6 Mg 3.57-3.62, 2 Ac 3.87
Mg  0.2164  0.5000  0.7164  2 Zn 2.80, 1 Mg 3.09
Mg  0.7836  0.5000  0.2836  2 Zn 2.80, 1 Mg 3.09
Zn  0.5000  0.0000  0.5000  4 Mg 2.80

ΔH_f (0 K) ... -64 meV per atom
Total magnetic moment ... 0.000 μB per cell
Space-group type ... Immm (71)

=====

A relaxed structure of Tl3Cd8Sn3, computed with PBE.

Lattice parameters (Å, degrees): 9.4003 9.4003 9.4003 151.77 100.85 86.02
Closest atoms and distances in Å follow each position.
Fractional positions:
Tl  0.0000  0.0000  0.0000  8 Cd 3.31
Tl  0.2914  0.2914  0.0000  8 Cd 3.43-3.52, 4 Sn 3.62-3.67
Tl  0.7086  0.7086  0.0000  8 Cd 3.43-3.52, 4 Sn 3.62-3.67
Cd  0.0176  0.6384  0.3792  4 Cd 2.89-3.03, 1 Sn 3.02
Cd  0.1234  0.8392  0.2842  3 Cd 2.98-3.03, 2 Sn 3.21
Cd  0.2592  0.6384  0.6208  4 Cd 2.89-3.03, 1 Sn 3.02
Cd  0.4451  0.1608  0.2842  3 Cd 2.98-3.03, 2 Sn 3.21
Cd  0.5549  0.8392  0.7158  3 Cd 2.98-3.03, 2 Sn 3.21
Cd  0.7408  0.3616  0.3792  4 Cd 2.89-3.03, 1 Sn 3.02
Cd  0.8766  0.1608  0.7158  3 Cd 2.98-3.03, 2 Sn 3.21
Cd  0.9824  0.3616  0.6208  4 Cd 2.89-3.03, 1 Sn 3.02
Sn  0.3160  0.5000  0.8160  6 Cd 3.02-3.21, 2 Sn 3.18
Sn  0.5000  0.0000  0.5000  4 Sn 3.18, 4 Cd 3.40
Sn  0.6840  0.5000  0.1840  6 Cd 3.02-3.21, 2 Sn 3.18

ΔH_f (0 K) ... 46 meV per atom
Total magnetic moment ... 0.000 μB per cell
Space-group type ... Immm (71)